Density functional theory data (PBE-GGA) for a relaxed structure of Ta2MoH.

Output
* density: 13191 kg/m³
* DOS at the Fermi energy: 6.626 states/eV per cell
* energy above the lowest structure with this stoichiometry: 0.214 eV per atom

a = 6.065 Å, b = 6.065 Å, c = 5.316 Å
α = 55.22°, β = 55.22°, γ = 90.00°
Fractional positions:
1 Ta 0.375 0.460 0.750
2 Ta 0.875 0.790 0.750
3 Ta 0.210 0.625 0.250
4 Ta 0.540 0.125 0.250
5 Mo 0.000 0.000 0.000
6 Mo 0.750 0.250 0.500
7 H 0.250 0.750 0.500
8 H 0.500 0.500 0.000